The following is a DFT calculation (PBE) of a relaxed TlInTcO6 crystal.

Computed properties:
- Energy relative to the elements, uncorrected: -1.0877 eV/atom
- Uncorrected energy: -6.112 eV/atom
- Total magnetic moment: 0.000 μB/cell

abc: 5.4596 5.4596 4.7610
angles: 90.00 90.00 120.00
With the nearest neighbours (Å) after each atom.
Fractional coordinates of all 9 atoms:
1 Tl 0.0000 0.0000 0.0000  6 O 2.40
2 In 0.3333 0.6667 0.5000  6 O 2.17
3 Tc 0.6667 0.3333 0.5000  6 O 1.93
4 O 0.3857 0.0325 0.7289  1 Tc 1.93
5 O 0.3857 0.3532 0.2711  1 Tc 1.93
6 O 0.6468 0.0325 0.2711  1 Tc 1.93
7 O 0.6468 0.6143 0.7289  1 Tc 1.93
8 O 0.9675 0.3532 0.7289  1 Tc 1.93
9 O 0.9675 0.6143 0.2711  1 Tc 1.93


The following is a DFT calculation (PBE) of a relaxed Tl3InTc2O9 crystal.

Computed properties:
- Energy relative to the elements, uncorrected: -1.0915 eV/atom
- Uncorrected energy: -6.104 eV/atom
- Total magnetic moment: 0.003 μB/cell

abc: 5.7570 5.7570 7.0736
angles: 90.00 90.00 120.00
With the nearest neighbours (Å) after each atom.
Fractional coordinates of all 15 atoms:
1 Tl 0.0000 0.0000 0.0000  12 O 2.84-2.88
2 Tl 0.3333 0.6667 0.6564  12 O 2.88-2.94
3 Tl 0.6667 0.3333 0.3436  12 O 2.88-2.94
4 In 0.0000 0.0000 0.5000  6 O 2.20
5 Tc 0.3333 0.6667 0.1590  6 O 1.91-2.01
6 Tc 0.6667 0.3333 0.8410  6 O 1.91-2.01
7 O 0.0000 0.5000 0.0000  2 Tc 2.01
8 O 0.1767 0.3534 0.3143  1 Tc 1.91
9 O 0.1767 0.8233 0.3143  1 Tc 1.91
10 O 0.3534 0.1767 0.6857  1 Tc 1.91
11 O 0.5000 0.0000 0.0000  2 Tc 2.01
12 O 0.5000 0.5000 0.0000  2 Tc 2.01
13 O 0.6466 0.8233 0.3143  1 Tc 1.91
14 O 0.8233 0.1767 0.6857  1 Tc 1.91
15 O 0.8233 0.6466 0.6857  1 Tc 1.91


The following is a DFT calculation (PBE) of a relaxed Tl2InTcO crystal.

Computed properties:
- Energy relative to the elements, uncorrected: 0.8059 eV/atom
- Uncorrected energy: -3.753 eV/atom
- Total magnetic moment: 3.928 μB/cell

abc: 5.8496 5.8496 3.9890
angles: 90.00 90.00 90.00
With the nearest neighbours (Å) after each atom.
Fractional coordinates of all 5 atoms:
1 Tl 0.0000 0.5000 0.0000  2 In 2.92
2 Tl 0.5000 0.0000 0.0000  2 In 2.92
3 In 0.0000 0.0000 0.0000  2 O 1.99
4 Tc 0.5000 0.5000 0.5000  8 Tl 3.54
5 O 0.0000 0.0000 0.5000  2 In 1.99


The following is a DFT calculation (PBE) of a relaxed ZnInTcO6 crystal.

Computed properties:
- Energy relative to the elements, uncorrected: -1.2347 eV/atom
- Uncorrected energy: -6.138 eV/atom
- Total magnetic moment: 0.000 μB/cell

abc: 5.1848 5.1848 9.2508
angles: 90.00 90.00 120.00
With the nearest neighbours (Å) after each atom.
Fractional coordinates of all 18 atoms:
1 Zn 0.3333 0.6667 0.2500  6 O 2.09
2 Zn 0.6667 0.3333 0.7500  6 O 2.09
3 In 0.0000 0.0000 0.0000  6 O 2.21
4 In 0.0000 0.0000 0.5000  6 O 2.21
5 Tc 0.3333 0.6667 0.7500  6 O 1.91
6 Tc 0.6667 0.3333 0.2500  6 O 1.91
7 O 0.0277 0.3651 0.6339  1 Tc 1.91, 1 Zn 2.09
8 O 0.0277 0.6626 0.8661  1 Tc 1.91, 1 Zn 2.09
9 O 0.3374 0.3651 0.8661  1 Tc 1.91, 1 Zn 2.09
10 O 0.3374 0.9723 0.6339  1 Tc 1.91, 1 Zn 2.09
11 O 0.3651 0.0277 0.1339  1 Tc 1.91, 1 Zn 2.09
12 O 0.3651 0.3374 0.3661  1 Tc 1.91, 1 Zn 2.09
13 O 0.6349 0.6626 0.6339  1 Tc 1.91, 1 Zn 2.09
14 O 0.6349 0.9723 0.8661  1 Tc 1.91, 1 Zn 2.09
15 O 0.6626 0.0277 0.3661  1 Tc 1.91, 1 Zn 2.09
16 O 0.6626 0.6349 0.1339  1 Tc 1.91, 1 Zn 2.09
17 O 0.9723 0.3374 0.1339  1 Tc 1.91, 1 Zn 2.09
18 O 0.9723 0.6349 0.3661  1 Tc 1.91, 1 Zn 2.09


- Among the records above, which one has the highest energy relative to the elements, uncorrected?
  Tl2InTcO